Entry from Alexandria: an optimized crystal structure of LaGa3PtRh (PBE).

The structure in POSCAR format:
```
LaGa3PtRh
1.0
3.2661 -6.1002 0.0000
3.2661 6.1002 0.0000
0.0000 0.0000 5.9697
La Ga Pt Rh
2 6 2 2
direct
0.2365 0.7635 0.7500 La
0.7635 0.2365 0.2500 La
0.1983 0.1983 0.0000 Ga
0.1983 0.1983 0.5000 Ga
0.3461 0.6539 0.2500 Ga
0.6539 0.3461 0.7500 Ga
0.8017 0.8017 0.0000 Ga
0.8017 0.8017 0.5000 Ga
0.1454 0.8546 0.2500 Pt
0.8546 0.1454 0.7500 Pt
0.4535 0.5465 0.7500 Rh
0.5465 0.4535 0.2500 Rh
```

Output
* SG: Cmcm, No. 63
* D(E_F): 6.80 states/eV per cell
* calculated formation energy: -3.9 eV/f.u.
* size of the total moment: 0.0000 μB per atom

Entry from Alexandria: an optimized crystal structure of LaGa4PtRh2 (PBE).

The structure in POSCAR format:
```
LaGa4PtRh2
1.0
2.1462 1.2391 9.0199
-2.1462 1.2391 9.0199
0.0000 -2.4782 9.0199
La Ga Pt Rh
1 4 1 2
direct
0.0000 0.0000 0.0000 La
0.1292 0.1292 0.1292 Ga
0.4023 0.4023 0.4023 Ga
0.5977 0.5977 0.5977 Ga
0.8708 0.8708 0.8708 Ga
0.5000 0.5000 0.5000 Pt
0.2289 0.2289 0.2289 Rh
0.7711 0.7711 0.7711 Rh
```

Output
* SG: R-3m, No. 166
* D(E_F): 4.55 states/eV per cell
* calculated formation energy: -5.4 eV/f.u.
* size of the total moment: 0.0000 μB per atom

Entry from Alexandria: an optimized crystal structure of La2Ga3Pt12Rh (PBE).

The structure in POSCAR format:
```
La2Ga3Pt12Rh
1.0
4.0305 2.3270 6.6153
-4.0305 2.3270 6.6153
0.0000 -4.6540 6.6153
La Ga Pt Rh
2 3 12 1
direct
0.1241 0.1241 0.1241 La
0.8759 0.8759 0.8759 La
0.0000 0.5000 0.5000 Ga
0.5000 0.0000 0.5000 Ga
0.5000 0.5000 0.0000 Ga
0.1149 0.6290 0.6290 Pt
0.1253 0.1253 0.6255 Pt
0.1253 0.6255 0.1253 Pt
0.3710 0.3710 0.8851 Pt
0.3710 0.8851 0.3710 Pt
0.3745 0.8747 0.8747 Pt
0.6255 0.1253 0.1253 Pt
0.6290 0.1149 0.6290 Pt
0.6290 0.6290 0.1149 Pt
0.8747 0.3745 0.8747 Pt
0.8747 0.8747 0.3745 Pt
0.8851 0.3710 0.3710 Pt
0.5000 0.5000 0.5000 Rh
```

Output
* SG: R-3m, No. 166
* D(E_F): 12.32 states/eV per cell
* calculated formation energy: -5.4 eV/f.u.
* size of the total moment: 0.0000 μB per atom

Entry from Alexandria: an optimized crystal structure of La2Ga4Pt3Rh (PBE).

The structure in POSCAR format:
```
La2Ga4Pt3Rh
1.0
4.3294 0.0000 0.0000
0.0000 4.3294 0.0000
0.0000 0.0000 10.4768
La Ga Pt Rh
2 4 3 1
direct
0.0000 0.5000 0.2491 La
0.5000 0.0000 0.7509 La
0.0000 0.0000 0.0000 Ga
0.0000 0.5000 0.6259 Ga
0.5000 0.0000 0.3741 Ga
0.5000 0.5000 0.0000 Ga
0.0000 0.5000 0.8672 Pt
0.5000 0.0000 0.1328 Pt
0.5000 0.5000 0.5000 Pt
0.0000 0.0000 0.5000 Rh
```

Output
* SG: P-4m2, No. 115
* D(E_F): 7.94 states/eV per cell
* calculated formation energy: -9.8 eV/f.u.
* size of the total moment: 0.0001 μB per atom

Entry from Alexandria: an optimized crystal structure of LaGa4Pt2Rh (PBE).

The structure in POSCAR format:
```
LaGa4Pt2Rh
1.0
2.1532 1.2432 9.0088
-2.1532 1.2432 9.0088
0.0000 -2.4863 9.0088
La Ga Pt Rh
1 4 2 1
direct
0.0000 0.0000 0.0000 La
0.1330 0.1330 0.1330 Ga
0.4019 0.4019 0.4019 Ga
0.5981 0.5981 0.5981 Ga
0.8670 0.8670 0.8670 Ga
0.2338 0.2338 0.2338 Pt
0.7662 0.7662 0.7662 Pt
0.5000 0.5000 0.5000 Rh
```

Output
* SG: R-3m, No. 166
* D(E_F): 4.15 states/eV per cell
* calculated formation energy: -6.0 eV/f.u.
* size of the total moment: 0.0000 μB per atom

Entry from Alexandria: an optimized crystal structure of LaGa2Pt2Rh (PBE).

The structure in POSCAR format:
```
LaGa2Pt2Rh
1.0
-1.9505 1.9505 9.8457
1.9505 -1.9505 9.8457
1.9505 1.9505 -9.8457
La Ga Pt Rh
1 2 2 1
direct
0.0000 0.0000 0.0000 La
0.1648 0.1648 0.0000 Ga
0.8352 0.8352 0.0000 Ga
0.2500 0.7500 0.5000 Pt
0.7500 0.2500 0.5000 Pt
0.5000 0.5000 0.0000 Rh
```

Output
* SG: I4/mmm, No. 139
* D(E_F): 4.32 states/eV per cell
* calculated formation energy: -0.9 eV/f.u.
* size of the total moment: 0.0000 μB per atom

Entry from Alexandria: an optimized crystal structure of LaGa4RuPt2 (PBE).

The structure in POSCAR format:
```
LaGa4RuPt2
1.0
2.1432 1.2374 9.0494
-2.1432 1.2374 9.0494
0.0000 -2.4747 9.0494
La Ga Ru Pt
1 4 1 2
direct
0.0000 0.0000 0.0000 La
0.1338 0.1338 0.1338 Ga
0.4029 0.4029 0.4029 Ga
0.5971 0.5971 0.5971 Ga
0.8662 0.8662 0.8662 Ga
0.5000 0.5000 0.5000 Ru
0.2347 0.2347 0.2347 Pt
0.7653 0.7653 0.7653 Pt
```

Output
* SG: R-3m, No. 166
* D(E_F): 4.45 states/eV per cell
* calculated formation energy: -5.4 eV/f.u.
* size of the total moment: 0.0000 μB per atom

Entry from Alexandria: an optimized crystal structure of LaGa4Ru2Pt (PBE).

The structure in POSCAR format:
```
LaGa4Ru2Pt
1.0
2.1492 1.2409 8.9503
-2.1492 1.2409 8.9503
0.0000 -2.4817 8.9503
La Ga Ru Pt
1 4 2 1
direct
0.0000 0.0000 0.0000 La
0.1289 0.1289 0.1289 Ga
0.4029 0.4029 0.4029 Ga
0.5971 0.5971 0.5971 Ga
0.8711 0.8711 0.8711 Ga
0.2294 0.2294 0.2294 Ru
0.7706 0.7706 0.7706 Ru
0.5000 0.5000 0.5000 Pt
```

Output
* SG: R-3m, No. 166
* D(E_F): 3.83 states/eV per cell
* calculated formation energy: -3.9 eV/f.u.
* size of the total moment: 0.0000 μB per atom

Entry from Alexandria: an optimized crystal structure of La2Ga3SbPt4 (PBE).

The structure in POSCAR format:
```
La2Ga3SbPt4
1.0
4.4321 0.0000 0.0000
0.0000 4.4321 0.0000
0.0000 0.0000 10.5287
La Ga Sb Pt
2 3 1 4
direct
0.0000 0.5000 0.2433 La
0.5000 0.0000 0.7567 La
0.0000 0.5000 0.8768 Ga
0.5000 0.0000 0.1232 Ga
0.5000 0.5000 0.5000 Ga
0.0000 0.0000 0.5000 Sb
0.0000 0.0000 0.0000 Pt
0.0000 0.5000 0.6398 Pt
0.5000 0.0000 0.3602 Pt
0.5000 0.5000 0.0000 Pt
```

Output
* SG: P-4m2, No. 115
* D(E_F): 4.13 states/eV per cell
* ΔE_f (raw): -9.7 eV/f.u.
* size of the total moment: 0.0000 μB per atom

Entry from Alexandria: an optimized crystal structure of LaGaSbPt2 (PBE).

The structure in POSCAR format:
```
LaGaSbPt2
1.0
5.0081 0.0000 0.0000
0.0000 5.0081 0.0000
0.0000 0.0000 5.9050
La Ga Sb Pt
1 1 1 2
direct
0.0000 0.0000 0.0000 La
0.5000 0.5000 0.0000 Ga
0.0000 0.0000 0.5000 Sb
0.0000 0.5000 0.5000 Pt
0.5000 0.0000 0.5000 Pt
```

Output
* SG: P4/mmm, No. 123
* D(E_F): 6.81 states/eV per cell
* ΔE_f (raw): 1.2 eV/f.u.
* size of the total moment: 0.0000 μB per atom

Entry from Alexandria: an optimized crystal structure of La2GaSbPt6 (PBE).

The structure in POSCAR format:
```
La2GaSbPt6
1.0
4.9743 -2.8735 0.0000
4.9743 2.8735 0.0000
-3.3297 0.0000 8.0263
La Ga Sb Pt
2 1 1 6
direct
0.2126 0.2126 0.1366 La
0.7874 0.7874 0.8634 La
0.0000 0.0000 0.5000 Ga
0.5000 0.5000 0.0000 Sb
0.2441 0.2441 0.7417 Pt
0.2441 0.7526 0.7416 Pt
0.2474 0.7559 0.2584 Pt
0.7526 0.2441 0.7416 Pt
0.7559 0.2474 0.2584 Pt
0.7559 0.7559 0.2583 Pt
```

Output
* SG: C2/m, No. 12
* D(E_F): 5.16 states/eV per cell
* ΔE_f (raw): -7.3 eV/f.u.
* size of the total moment: 0.0000 μB per atom

Entry from Alexandria: an optimized crystal structure of La2GaSb3Pt4 (PBE).

The structure in POSCAR format:
```
La2GaSb3Pt4
1.0
4.5668 0.0000 0.0000
0.0000 4.5668 0.0000
0.0000 0.0000 10.7038
La Ga Sb Pt
2 1 3 4
direct
0.0000 0.5000 0.2451 La
0.5000 0.0000 0.7549 La
0.0000 0.0000 0.5000 Ga
0.0000 0.5000 0.8658 Sb
0.5000 0.0000 0.1342 Sb
0.5000 0.5000 0.5000 Sb
0.0000 0.0000 0.0000 Pt
0.0000 0.5000 0.6216 Pt
0.5000 0.0000 0.3784 Pt
0.5000 0.5000 0.0000 Pt
```

Output
* SG: P-4m2, No. 115
* D(E_F): 3.72 states/eV per cell
* ΔE_f (raw): -9.4 eV/f.u.
* size of the total moment: 0.0000 μB per atom

Entry from Alexandria: an optimized crystal structure of La2ScGaPt6 (PBE).

The structure in POSCAR format:
```
La2ScGaPt6
1.0
0.0000 4.8374 4.8374
4.8374 0.0000 4.8374
4.8374 4.8374 0.0000
La Sc Ga Pt
2 1 1 6
direct
0.2500 0.2500 0.2500 La
0.7500 0.7500 0.7500 La
0.0000 0.0000 0.0000 Sc
0.5000 0.5000 0.5000 Ga
0.2553 0.2553 0.7447 Pt
0.2553 0.7447 0.2553 Pt
0.2553 0.7447 0.7447 Pt
0.7447 0.2553 0.2553 Pt
0.7447 0.2553 0.7447 Pt
0.7447 0.7447 0.2553 Pt
```

Output
* SG: Fm-3m, No. 225
* D(E_F): 5.78 states/eV per cell
* calculated formation energy: -4.7 eV/f.u.
* size of the total moment: 0.0000 μB per atom

Entry from Alexandria: an optimized crystal structure of LaScGa2Pt5 (PBE).

The structure in POSCAR format:
```
LaScGa2Pt5
1.0
4.2017 0.0000 0.0000
0.0000 4.2017 0.0000
0.0000 0.0000 9.4069
La Sc Ga Pt
1 1 2 5
direct
0.0000 0.0000 0.0000 La
0.0000 0.0000 0.5000 Sc
0.5000 0.5000 0.3736 Ga
0.5000 0.5000 0.6264 Ga
0.0000 0.5000 0.2352 Pt
0.0000 0.5000 0.7648 Pt
0.5000 0.0000 0.2352 Pt
0.5000 0.0000 0.7648 Pt
0.5000 0.5000 0.0000 Pt
```

Output
* SG: P4/mmm, No. 123
* D(E_F): 6.06 states/eV per cell
* calculated formation energy: -7.1 eV/f.u.
* size of the total moment: 0.0000 μB per atom

Entry from Alexandria: an optimized crystal structure of LaGaSiPt6 (PBE).

The structure in POSCAR format:
```
LaGaSiPt6
1.0
-3.7006 4.2942 5.6636
3.7006 -4.2942 5.6636
3.7006 4.2942 -5.6636
La Ga Si Pt
2 2 2 12
direct
0.4019 0.1519 0.2500 La
0.5981 0.8481 0.7500 La
0.0000 0.0000 0.5000 Ga
0.0000 0.5000 0.0000 Ga
0.0000 0.5000 0.5000 Si
0.5000 0.5000 0.0000 Si
0.1126 0.3724 0.2375 Pt
0.1126 0.8751 0.7402 Pt
0.1429 0.8929 0.2500 Pt
0.3415 0.5915 0.7500 Pt
0.3651 0.1249 0.7375 Pt
0.3651 0.6276 0.2402 Pt
0.6349 0.3724 0.7598 Pt
0.6349 0.8751 0.2625 Pt
0.6585 0.4085 0.2500 Pt
0.8571 0.1071 0.7500 Pt
0.8874 0.1249 0.2598 Pt
0.8874 0.6276 0.7625 Pt
```

Output
* SG: Imma, No. 74
* D(E_F): 6.42 states/eV per cell
* ΔE_f (raw): -5.0 eV/f.u.
* size of the total moment: 0.0000 μB per atom

Entry from Alexandria: an optimized crystal structure of La2GaSi4Pt3 (PBE).

The structure in POSCAR format:
```
La2GaSi4Pt3
1.0
4.3120 0.0000 0.0000
0.0000 4.3120 0.0000
0.0000 0.0000 10.0016
La Ga Si Pt
2 1 4 3
direct
0.0000 0.5000 0.2470 La
0.5000 0.0000 0.7530 La
0.0000 0.0000 0.5000 Ga
0.0000 0.0000 0.0000 Si
0.0000 0.5000 0.6377 Si
0.5000 0.0000 0.3623 Si
0.5000 0.5000 0.0000 Si
0.0000 0.5000 0.8819 Pt
0.5000 0.0000 0.1181 Pt
0.5000 0.5000 0.5000 Pt
```

Output
* SG: P-4m2, No. 115
* D(E_F): 3.16 states/eV per cell
* ΔE_f (raw): -10.2 eV/f.u.
* size of the total moment: 0.0000 μB per atom

Entry from Alexandria: an optimized crystal structure of La2GaSi3Pt4 (PBE).

The structure in POSCAR format:
```
La2GaSi3Pt4
1.0
4.3417 0.0000 0.0000
0.0000 4.3417 0.0000
0.0000 0.0000 9.9800
La Ga Si Pt
2 1 3 4
direct
0.0000 0.5000 0.2456 La
0.5000 0.0000 0.7544 La
0.5000 0.5000 0.0000 Ga
0.0000 0.0000 0.0000 Si
0.0000 0.5000 0.6251 Si
0.5000 0.0000 0.3749 Si
0.0000 0.0000 0.5000 Pt
0.0000 0.5000 0.8684 Pt
0.5000 0.0000 0.1316 Pt
0.5000 0.5000 0.5000 Pt
```

Output
* SG: P-4m2, No. 115
* D(E_F): 4.47 states/eV per cell
* ΔE_f (raw): -11.1 eV/f.u.
* size of the total moment: 0.0000 μB per atom

Entry from Alexandria: an optimized crystal structure of La2SmGa2Pt7 (PBE).

The structure in POSCAR format:
```
La2SmGa2Pt7
1.0
2.9542 -2.9237 0.0000
2.9542 2.9237 0.0000
-2.0449 0.0000 14.1462
La Sm Ga Pt
2 1 2 7
direct
0.1084 0.1084 0.3566 La
0.8916 0.8916 0.6434 La
0.0000 0.0000 0.0000 Sm
0.4134 0.4134 0.7490 Ga
0.5866 0.5866 0.2510 Ga
0.0530 0.5527 0.1526 Pt
0.3850 0.3850 0.5744 Pt
0.4473 0.9470 0.8474 Pt
0.5000 0.5000 0.0000 Pt
0.5527 0.0530 0.1526 Pt
0.6150 0.6150 0.4256 Pt
0.9470 0.4473 0.8474 Pt
```

Output
* SG: C2/m, No. 12
* D(E_F): 2.86 states/eV per cell
* calculated formation energy: -12.0 eV/f.u.
* size of the total moment: 0.0000 μB per atom

Entry from Alexandria: an optimized crystal structure of LaSmGa2Pt2 (PBE).

The structure in POSCAR format:
```
LaSmGa2Pt2
1.0
4.5026 0.0000 0.0000
-2.2513 3.8994 0.0000
0.0000 0.0000 7.4844
La Sm Ga Pt
1 1 2 2
direct
0.0000 0.0000 0.0000 La
0.0000 0.0000 0.5000 Sm
0.3333 0.6667 0.7330 Ga
0.6667 0.3333 0.2670 Ga
0.3333 0.6667 0.2653 Pt
0.6667 0.3333 0.7347 Pt
```

Output
* SG: P-3m1, No. 164
* D(E_F): 4.55 states/eV per cell
* calculated formation energy: -6.2 eV/f.u.
* size of the total moment: 0.0000 μB per atom

Entry from Alexandria: an optimized crystal structure of La2SmGa4Pt3 (PBE).

The structure in POSCAR format:
```
La2SmGa4Pt3
1.0
4.3260 0.0000 0.0000
0.0000 4.3260 0.0000
0.0000 0.0000 11.6920
La Sm Ga Pt
2 1 4 3
direct
0.0000 0.5000 0.2234 La
0.5000 0.0000 0.7766 La
0.0000 0.0000 0.5000 Sm
0.0000 0.0000 0.0000 Ga
0.0000 0.5000 0.6683 Ga
0.5000 0.0000 0.3317 Ga
0.5000 0.5000 0.0000 Ga
0.0000 0.5000 0.8801 Pt
0.5000 0.0000 0.1199 Pt
0.5000 0.5000 0.5000 Pt
```

Output
* SG: P-4m2, No. 115
* D(E_F): 9.20 states/eV per cell
* calculated formation energy: -8.8 eV/f.u.
* size of the total moment: 0.0000 μB per atom